A relaxed structure of CuTe2Ir. Source: Alexandria, functional PBE.

Lattice parameters (Å, degrees): 4.0592 4.0592 22.6441 90.00 90.00 120.00
Space group R-3m (No. 166, hexagonal axes)
One atom of each set of equivalent atoms:
Cu: 0.0000 0.0000 0.0000 [3 per cell]
Te: 0.0000 0.0000 0.1092 [6 per cell]
Ir: 0.0000 0.0000 0.5000 [3 per cell]

formation energy (no corrections) = -33 meV/atom
total DFT energy (no corrections) = -58.12 eV for the cell shown